P.
First-principles (PBE) data for a relaxed structure of Pm2Y3Ho2, as listed in Alexandria.

Values from the calculation:
Total magnetic moment   0.00 μB per formula unit
Volume   467 Å³ per cell

Cell lengths 8.4655, 8.4655, 8.4655 Å; angles 109.47, 109.47, 109.47 degrees
Positions (direct):
Pm: 0.0000 0.8103 0.5000
Pm: 0.5000 0.0000 0.8103
Pm: 0.6897 0.6897 0.6897
Pm: 0.8103 0.5000 0.0000
Y: 0.1919 0.7500 0.9419
Y: 0.2500 0.5581 0.3081
Y: 0.3081 0.2500 0.5581
Y: 0.5581 0.3081 0.2500
Y: 0.7500 0.9419 0.1919
Y: 0.9419 0.1919 0.7500
Ho: 0.0000 0.4132 0.5000
Ho: 0.0868 0.0868 0.0868
Ho: 0.4132 0.5000 0.0000
Ho: 0.5000 0.0000 0.4132

Q.
First-principles (PBE) data for a relaxed structure of Pm2Y3Ho2, as listed in Alexandria.

Values from the calculation:
Total magnetic moment   0.00 μB per formula unit
Volume   231 Å³ per cell

Cell lengths 8.5517, 8.5517, 8.7607 Å; angles 115.57, 115.57, 23.66 degrees
Positions (direct):
Pm: 0.0785 0.0785 0.2001
Pm: 0.9215 0.9215 0.7999
Y: 0.0000 0.0000 0.5000
Y: 0.2208 0.2208 0.6493
Y: 0.7792 0.7792 0.3507
Ho: 0.3619 0.3619 0.0916
Ho: 0.6381 0.6381 0.9084

In meV/atom, relative to the most stable structure: P 98; Q 0.